# Si5Ni3

Si5Ni3 after structural relaxation (PBE-GGA, Alexandria via LeMat-Bulk).

Cell: 7.1021 7.1021 4.7109 Å, 90.00 90.00 120.00°
Space group P6_3/mcm (No. 193)
Asymmetric unit:
Si (0.0000, 0.2293, 0.2500) (multiplicity 6)
Si (0.3333, 0.6667, 0.0000) (multiplicity 4)
Ni (0.0000, 0.4347, 0.7500) (multiplicity 6)

Computed properties:
Formation energy from raw total energies   -0.011 eV/atom
E above lowest polymorph   145.7 meV/atom
V   12.861 Å³/atom
Crystal system   hexagonal
Spin magnetization   0.00 μB/f.u.

---

# SiNi5

SiNi5 after structural relaxation (PBE-GGA, Alexandria via LeMat-Bulk).

Cell: 4.035 2.568 12.576 Å, 90.00 90.00 90.00°
Space group Amm2 (No. 38)
Asymmetric unit:
Si (0.000, 0.000, 0.000) (multiplicity 2)
Ni (0.000, 0.000, 0.337) (multiplicity 2)
Ni (0.000, 0.000, 0.661) (multiplicity 2)
Ni (0.500, 0.000, 0.118) (multiplicity 2)
Ni (0.500, 0.000, 0.451) (multiplicity 2)
Ni (0.500, 0.000, 0.782) (multiplicity 2)

Computed properties:
Formation energy from raw total energies   -0.216 eV/atom
V   10.858 Å³/atom
Crystal system   orthorhombic
Spin magnetization   1.15 μB/f.u.

---

# Si2Ni

Si2Ni after structural relaxation (PBE-GGA, Alexandria via LeMat-Bulk).

Cell: 5.553 5.553 4.883 Å, 90.00 90.00 90.00°
Space group I4/mcm (No. 140)
Asymmetric unit:
Si (0.155, 0.345, 0.000) (multiplicity 8)
Ni (0.000, 0.000, 0.250) (multiplicity 4)

Computed properties:
Formation energy from raw total energies   -0.222 eV/atom
V   12.546 Å³/atom
Crystal system   tetragonal
Spin magnetization   0.00 μB/f.u.

---

# SiNi2

SiNi2 after structural relaxation (PBE-GGA, Alexandria via LeMat-Bulk).

Cell: 5.291 5.291 4.916 Å, 90.00 90.00 90.00°
Space group I4/mcm (No. 140)
Asymmetric unit:
Si (0.000, 0.000, 0.250) (multiplicity 4)
Ni (0.164, 0.336, 0.000) (multiplicity 8)

Computed properties:
Formation energy from raw total energies   -0.398 eV/atom
V   11.466 Å³/atom
Crystal system   tetragonal
Spin magnetization   0.00 μB/f.u.

---

# Si2Ni

Si2Ni after structural relaxation (PBE-GGA, Alexandria via LeMat-Bulk).

Cell: 7.500 3.426 6.229 Å, 90.00 96.88 90.00°
Space group Cm (No. 8)
Asymmetric unit:
Si (0.000, 0.000, 0.000) (multiplicity 2)
Si (0.025, 0.500, 0.686) (multiplicity 2)
Si (0.083, 0.000, 0.408) (multiplicity 2)
Si (0.224, 0.500, 0.158) (multiplicity 2)
Ni (0.277, 0.000, 0.870) (multiplicity 2)
Ni (0.294, 0.500, 0.530) (multiplicity 2)

Computed properties:
Formation energy from raw total energies   -0.090 eV/atom
V   13.241 Å³/atom
Crystal system   monoclinic
Spin magnetization   0.00 μB/f.u.

---

# SiNi2

SiNi2 after structural relaxation (PBE-GGA, Alexandria via LeMat-Bulk).

Cell: 2.749 3.780 6.442 Å, 90.00 90.00 90.00°
Space group Pmmn (No. 59, origin choice 2)
Asymmetric unit:
Si (0.250, 0.250, 0.244) (multiplicity 2)
Ni (0.250, 0.250, 0.891) (multiplicity 2)
Ni (0.250, 0.750, 0.449) (multiplicity 2)

Computed properties:
Formation energy from raw total energies   -0.503 eV/atom
V   11.154 Å³/atom
Crystal system   orthorhombic
Spin magnetization   0.00 μB/f.u.

---

# SiNi2

SiNi2 after structural relaxation (PBE-GGA, Alexandria via LeMat-Bulk).

Cell: 3.771 3.771 2.679 Å, 90.00 90.00 90.00°
Space group P4/mmm (No. 123)
Asymmetric unit:
Si (0.000, 0.000, 0.000) (multiplicity 1)
Ni (0.000, 0.500, 0.500) (multiplicity 2)

Computed properties:
Formation energy from raw total energies   -0.245 eV/atom
V   12.698 Å³/atom
Crystal system   tetragonal
Spin magnetization   0.00 μB/f.u.

---

# SiNi4

SiNi4 after structural relaxation (PBE-GGA, Alexandria via LeMat-Bulk).

Cell: 7.004 3.853 4.804 Å, 90.00 122.97 90.00°
Space group C2/m (No. 12)
Asymmetric unit:
Si (0.000, 0.000, 0.000) (multiplicity 2)
Ni (0.104, 0.500, 0.818) (multiplicity 4)
Ni (0.189, 0.000, 0.572) (multiplicity 4)

Computed properties:
Formation energy from raw total energies   -0.304 eV/atom
E above lowest polymorph   20.0 meV/atom
V   10.876 Å³/atom
Crystal system   monoclinic
Spin magnetization   0.00 μB/f.u.

---

# SiNi5

SiNi5 after structural relaxation (PBE-GGA, Alexandria via LeMat-Bulk).

Cell: 9.175 2.579 5.752 Å, 90.00 106.65 90.00°
Space group Cm (No. 8)
Asymmetric unit:
Si (0.000, 0.000, 0.000) (multiplicity 2)
Ni (0.116, 0.500, 0.756) (multiplicity 2)
Ni (0.163, 0.500, 0.318) (multiplicity 2)
Ni (0.300, 0.000, 0.077) (multiplicity 2)
Ni (0.334, 0.000, 0.670) (multiplicity 2)
Ni (0.458, 0.500, 0.416) (multiplicity 2)

Computed properties:
Formation energy from raw total energies   -0.220 eV/atom
V   10.869 Å³/atom
Crystal system   monoclinic
Spin magnetization   0.78 μB/f.u.

---

# Si2Ni

Si2Ni after structural relaxation (PBE-GGA, Alexandria via LeMat-Bulk).

Cell: 6.322 3.419 7.090 Å, 90.00 90.00 90.00°
Space group Pnma (No. 62)
Asymmetric unit:
Si (0.041, 0.250, 0.151) (multiplicity 4)
Si (0.121, 0.250, 0.573) (multiplicity 4)
Ni (0.250, 0.250, 0.875) (multiplicity 4)

Computed properties:
Formation energy from raw total energies   -0.155 eV/atom
V   12.773 Å³/atom
Crystal system   orthorhombic
Spin magnetization   0.00 μB/f.u.

---

# Si5Ni

Si5Ni after structural relaxation (PBE-GGA, Alexandria via LeMat-Bulk).

Cell: 4.6659 4.6659 4.9320 Å, 90.00 90.00 120.00°
Space group P6/mmm (No. 191)
Asymmetric unit:
Si (0.0000, 0.5000, 0.0000) (multiplicity 3)
Si (0.3333, 0.6667, 0.5000) (multiplicity 2)
Ni (0.0000, 0.0000, 0.5000) (multiplicity 1)

Computed properties:
Formation energy from raw total energies   0.618 eV/atom
E above lowest polymorph   423.1 meV/atom
V   15.498 Å³/atom
Crystal system   hexagonal
Spin magnetization   0.00 μB/f.u.

---

# SiNi4

SiNi4 after structural relaxation (PBE-GGA, Alexandria via LeMat-Bulk).

Cell: 5.125 5.125 5.125 Å, 90.00 90.00 90.00°
Space group Im-3m (No. 229)
Asymmetric unit:
Si (0.000, 0.000, 0.000) (multiplicity 2)
Ni (0.250, 0.250, 0.250) (multiplicity 8)

Computed properties:
Formation energy from raw total energies   0.213 eV/atom
E above lowest polymorph   536.9 meV/atom
V   13.465 Å³/atom
Crystal system   cubic
Spin magnetization   0.00 μB/f.u.